(1)
Entry from Alexandria via LeMat-Bulk: a geometry-optimized RbEr2Au2O6 structure (PBE).

It has space group P-1 (No. 2), with a = 6.1658 Å, b = 6.7751 Å, c = 6.9127 Å, α = 81.19°, β = 69.13° and γ = 62.94°. The asymmetric unit holds Rb at (0.0000, 0.0000, 0.0000), Er at (0.3192, 0.3620, 0.9998), Au at (0.2224, 0.5562, 0.5003), O at (0.0846, 0.5727, 0.8111), O at (0.3418, 0.5751, 0.1899) and O at (0.4921, 0.9988, 0.8942).

The volume comes out at 240 Å³ per cell. The density of states at the Fermi level comes out at 8.84 states/eV per cell. The uncorrected formation energy comes out at -1.78 eV/atom.

(2)
Entry from Alexandria via LeMat-Bulk: a geometry-optimized PuTl2Au9 structure (PBE).

It has space group R-3m (No. 166, hexagonal axes), with a = 5.6418 Å, b = 5.6418 Å, c = 28.2702 Å, α = 90.00°, β = 90.00° and γ = 120.00°. The asymmetric unit holds Pu at (0.0000, 0.0000, 0.0000), Tl at (0.0000, 0.0000, 0.1437), Au at (0.0000, 0.0000, 0.3327), Au at (0.0000, 0.0000, 0.5000) and Au at (0.0011, 0.5005, 0.9174).

The volume comes out at 779 Å³ per cell. The density of states at the Fermi level comes out at 64.51 states/eV per cell. As for the energy of formation: -0.104 eV per atom.

(3)
Entry from Alexandria via LeMat-Bulk: a geometry-optimized Sm3Ho3Er structure (PBE).

It has space group P6_3/m (No. 176), with a = 9.5763 Å, b = 9.5763 Å, c = 5.7071 Å, α = 90.00°, β = 90.00° and γ = 120.00°. The asymmetric unit holds Sm at (0.0482, 0.8068, 0.2500), Ho at (0.0948, 0.6173, 0.7500) and Er at (0.3333, 0.6667, 0.2500).

The volume comes out at 453 Å³ per cell. The density of states at the Fermi level comes out at 25.88 states/eV per cell. As for the energy of formation: 0.016 eV per atom.

(4)
Entry from Alexandria via LeMat-Bulk: a geometry-optimized PmDyTlHg structure (PBE).

It has space group F-43m (No. 216), with a = 7.6153 Å, b = 7.6153 Å, c = 7.6153 Å, α = 90.00°, β = 90.00° and γ = 90.00°. The asymmetric unit holds Pm at (0.0000, 0.0000, 0.0000), Dy at (0.0000, 0.0000, 0.5000), Tl at (0.2500, 0.2500, 0.2500) and Hg at (0.2500, 0.2500, 0.7500).

The volume comes out at 442 Å³ per cell. The density of states at the Fermi level comes out at 16.77 states/eV per cell. As for the energy of formation: -0.419 eV per atom.

(5)
Entry from Alexandria via LeMat-Bulk: a geometry-optimized La2Pm3Y2 structure (PBE).

It has space group P-1 (No. 2), with a = 3.6720 Å, b = 6.2828 Å, c = 10.9766 Å, α = 95.36°, β = 90.04° and γ = 106.90°. The asymmetric unit holds La at (0.2160, 0.4298, 0.3559), Pm at (0.3567, 0.7156, 0.9301), Pm at (0.5000, 0.0000, 0.5000) and Y at (0.0709, 0.1407, 0.7885).

The volume comes out at 241 Å³ per cell. The density of states at the Fermi level comes out at 9.91 states/eV per cell. As for the energy of formation: 0.012 eV per atom.

(6)
Entry from Alexandria via LeMat-Bulk: a geometry-optimized Zr2HPdRh structure (PBE).

It has space group P4/mmm (No. 123), with a = 4.4612 Å, b = 4.4612 Å, c = 3.7929 Å, α = 90.00°, β = 90.00° and γ = 90.00°. The asymmetric unit holds Zr at (0.0000, 0.5000, 0.0000), H at (0.0000, 0.0000, 0.0000), Pd at (0.5000, 0.5000, 0.5000) and Rh at (0.0000, 0.0000, 0.5000).

The volume comes out at 75 Å³ per cell. The density of states at the Fermi level comes out at 5.70 states/eV per cell. Its final energy is -35.767 eV/cell.

(7)
Entry from Alexandria via LeMat-Bulk: a geometry-optimized CdInIr structure (PBE).

It has space group Cmcm (No. 63), with a = 3.0304 Å, b = 17.9289 Å, c = 4.5544 Å, α = 90.00°, β = 90.00° and γ = 90.00°. The asymmetric unit holds Cd at (0.0000, 0.2023, 0.2500), In at (0.0000, 0.0699, 0.7500) and Ir at (0.0000, 0.4327, 0.7500).

The volume comes out at 247 Å³ per cell. The density of states at the Fermi level comes out at 5.43 states/eV per cell. As for the energy of formation: -0.021 eV per atom.

(8)
Entry from Alexandria via LeMat-Bulk: a geometry-optimized CePb2Se4 structure (PBE).

It has space group Cmcm (No. 63), with a = 4.1059 Å, b = 14.5159 Å, c = 14.0282 Å, α = 90.00°, β = 90.00° and γ = 90.00°. The asymmetric unit holds Ce at (0.0000, 0.1190, 0.2500), Pb at (0.0000, 0.3697, 0.0677), Se at (0.0000, 0.0000, 0.0000), Se at (0.0000, 0.2887, 0.6292) and Se at (0.0000, 0.4812, 0.2500).

The volume comes out at 836 Å³ per cell. The density of states at the Fermi level comes out at 12.14 states/eV per cell. The uncorrected formation energy comes out at -0.94 eV/atom.

(9)
Entry from Alexandria via LeMat-Bulk: a geometry-optimized Nb3Ge4Ru structure (PBE).

It has space group Pmn2_1 (No. 31), with a = 8.6120 Å, b = 7.3023 Å, c = 5.1890 Å, α = 90.00°, β = 90.00° and γ = 90.00°. The asymmetric unit holds Nb at (0.0000, 0.1510, 0.0000), Nb at (0.2471, 0.3287, 0.4854), Ge at (0.0000, 0.1224, 0.4968), Ge at (0.0000, 0.8178, 0.7327), Ge at (0.2300, 0.6854, 0.4836) and Ru at (0.0000, 0.8231, 0.2103).

The volume comes out at 326 Å³ per cell. The density of states at the Fermi level comes out at 9.25 states/eV per cell. As for the energy of formation: 0.070 eV per atom.

(10)
Entry from Alexandria via LeMat-Bulk: a geometry-optimized Tb4Tl3Pd structure (PBE).

It has space group P4/mmm (No. 123), with a = 3.6238 Å, b = 3.6238 Å, c = 15.9317 Å, α = 90.00°, β = 90.00° and γ = 90.00°. The asymmetric unit holds Tb at (0.0000, 0.0000, 0.1060), Tb at (0.0000, 0.0000, 0.3684), Tl at (0.5000, 0.5000, 0.2391), Tl at (0.5000, 0.5000, 0.5000) and Pd at (0.5000, 0.5000, 0.0000).

The volume comes out at 209 Å³ per cell. The density of states at the Fermi level comes out at 5.83 states/eV per cell. As for the energy of formation: -0.484 eV per atom.

(11)
Entry from Alexandria via LeMat-Bulk: a geometry-optimized ZrReBr2 structure (PBE).

It has space group P4mm (No. 99), with a = 3.1930 Å, b = 3.1930 Å, c = 8.9917 Å, α = 90.00°, β = 90.00° and γ = 90.00°. The asymmetric unit holds Zr at (0.0000, 0.0000, 0.0000), Re at (0.5000, 0.5000, 0.7981), Br at (0.0000, 0.0000, 0.6072) and Br at (0.5000, 0.5000, 0.2151).

The volume comes out at 92 Å³ per cell. The density of states at the Fermi level comes out at 3.64 states/eV per cell. The uncorrected formation energy comes out at -0.02 eV/atom.

(12)
Entry from Alexandria via LeMat-Bulk: a geometry-optimized TlRuSe2N structure (PBE).

It has space group P4/mmm (No. 123), with a = 5.2680 Å, b = 5.2680 Å, c = 3.6786 Å, α = 90.00°, β = 90.00° and γ = 90.00°. The asymmetric unit holds Tl at (0.0000, 0.0000, 0.0000), Ru at (0.5000, 0.5000, 0.5000), Se at (0.0000, 0.5000, 0.5000) and N at (0.5000, 0.5000, 0.0000).

The volume comes out at 102 Å³ per cell. The density of states at the Fermi level comes out at 5.62 states/eV per cell. The uncorrected formation energy comes out at 0.22 eV/atom.